VASP calculation (PBE-GGA) on a relaxed structure of RbAl4Zn2.

Output
**ΔH_f (0 K)**: 72 meV per atom
**SG**: No. 65
**DOS(E_F)**: 0.463 states/eV/atom
**Final energy**: -2.57 eV per atom

Lattice parameters (Å, degrees): 4.2883 4.3398 8.2546 105.24 90.00 90.00
With the nearest neighbours (Å) after each atom.
Element x y z (fractional)
Rb 0.0000 0.0000 0.0000  8 Zn 3.36, 8 Al 3.71-3.76
Al 0.5000 0.8102 0.6203  2 Zn 2.70, 4 Al 2.85-2.90
Al 0.0000 0.3073 0.6146  2 Zn 2.71, 4 Al 2.84-2.85
Al 0.0000 0.6927 0.3854  2 Zn 2.71, 4 Al 2.84-2.85
Al 0.5000 0.1898 0.3797  2 Zn 2.70, 4 Al 2.85-2.90
Zn 0.5000 0.4109 0.8219  4 Al 2.70-2.71, 1 Zn 2.84
Zn 0.5000 0.5891 0.1781  4 Al 2.70-2.71, 1 Zn 2.84

---

VASP calculation (PBE-GGA) on a relaxed structure of RbZrAl.

Output
**ΔH_f (0 K)**: 220 meV per atom
**SG**: No. 1
**Relative energy among the computed polymorphs**: 197.5 meV per atom
**DOS(E_F)**: 2.886 states/eV/atom
**Final energy**: -4.20 eV per atom

Lattice parameters (Å, degrees): 4.6916 13.2035 4.6928 69.09 120.58 100.70
With the nearest neighbours (Å) after each atom.
Element x y z (fractional)
Zr 0.1035 0.4599 0.1089  4 Al 2.77-2.80
Zr 0.4379 0.3180 0.9139  6 Al 2.88-2.89, 2 Zr 3.20
Al 0.7708 0.4000 0.5005  6 Zr 2.80-2.89
Al 0.1056 0.2356 0.3272  4 Zr 2.77-2.89
Rb 0.7709 0.0320 0.8618  3 Al 3.69
Rb 0.4360 0.6888 0.5515  3 Zr 3.89-3.91

---

VASP calculation (PBE-GGA) on a relaxed structure of RbZrAl3.

Output
**ΔH_f (0 K)**: 1833 meV per atom
**SG**: No. 221
**Relative energy among the computed polymorphs**: 1245.7 meV per atom
**DOS(E_F)**: 0.853 states/eV/atom
**Final energy**: -2.32 eV per atom

Lattice parameters (Å, degrees): 5.1959 5.1959 5.1959 90.00 90.00 90.00
With the nearest neighbours (Å) after each atom.
Element x y z (fractional)
Al 0.5000 0.0000 0.0000  2 Rb 2.60
Al 0.0000 0.0000 0.5000  2 Rb 2.60
Al 0.0000 0.5000 0.0000  2 Rb 2.60
Zr 0.5000 0.5000 0.5000  12 Al 3.67
Rb 0.0000 0.0000 0.0000  6 Al 2.60

---

VASP calculation (PBE-GGA) on a relaxed structure of RbZrAl.

Output
**ΔH_f (0 K)**: 1558 meV per atom
**SG**: No. 194
**Relative energy among the computed polymorphs**: 1535.6 meV per atom
**DOS(E_F)**: 2.580 states/eV/atom
**Final energy**: -2.86 eV per atom

Lattice parameters (Å, degrees): 6.1049 6.1049 10.7283 90.00 90.00 120.00
With the nearest neighbours (Å) after each atom.
Element x y z (fractional)
Rb 0.6667 0.3333 0.7500  3 Al 3.52
Rb 0.3333 0.6667 0.2500  3 Al 3.52
Zr 0.0000 0.0000 0.5000  2 Al 2.68
Zr 0.0000 0.0000 0.0000  2 Al 2.68
Al 0.0000 0.0000 0.2500  2 Zr 2.68
Al 0.0000 0.0000 0.7500  2 Zr 2.68